Entry 1:
The following is a PBE calculation of a relaxed structure of BeZn5, from Alexandria.

Values from the calculation:
Calculated density: 6.72 g/cm³
E above lowest polymorph: 0.0328 eV/atom
Formation energy from the elements: 0.120 eV/atom
M_tot: 0.0 μB/cell

```
data_BeZn5
_chemical_formula_sum 'Be2 Zn10'
_symmetry_space_group_name_H-M 'C m m m'
_symmetry_Int_Tables_number 65
_symmetry_space_group_name_Hall '-C 2 2'
_cell_length_a 3.8261
_cell_length_b 11.5204
_cell_length_c 3.7671
_cell_angle_alpha 90.00
_cell_angle_beta 90.00
_cell_angle_gamma 90.00
loop_
_atom_site_label
_atom_site_type_symbol
_atom_site_fract_x
_atom_site_fract_y
_atom_site_fract_z
Be1 Be 0.0000 0.0000 0.0000
Zn1 Zn 0.0000 0.1602 0.5000
Zn2 Zn 0.0000 0.3395 0.0000
Zn3 Zn 0.0000 0.5000 0.5000
```

***

Entry 2:
The following is a PBE calculation of a relaxed structure of BeZn3, from Alexandria.

Values from the calculation:
Calculated density: 6.49 g/cm³
Formation energy from the elements: 0.132 eV/atom
M_tot: 0.0 μB/cell

```
data_BeZn3
_chemical_formula_sum 'Be1 Zn3'
_symmetry_space_group_name_H-M 'P -6 m 2'
_symmetry_Int_Tables_number 187
_symmetry_space_group_name_Hall 'P -6 2'
_cell_length_a 2.6662
_cell_length_b 2.6662
_cell_length_c 8.5322
_cell_angle_alpha 90.00
_cell_angle_beta 90.00
_cell_angle_gamma 120.00
loop_
_atom_site_label
_atom_site_type_symbol
_atom_site_fract_x
_atom_site_fract_y
_atom_site_fract_z
Be1 Be 0.0000 0.0000 0.0000
Zn1 Zn 0.0000 0.0000 0.5000
Zn2 Zn 0.6667 0.3333 0.2242
```